Density functional theory data (PBE) for crystalline Rb2HgAsPb at its relaxed geometry.

Properties
SG   P4/mmm
Spin magnetization   0.00 μB/f.u.
Calculated formation energy   -0.09 eV per atom
VASP energy   -2.209 eV/atom
V   50.22 A^3/atom

```
Rb2HgAsPb
1.0
6.7755 0.0000 0.0000
0.0000 6.7755 0.0000
0.0000 0.0000 5.4697
Rb Hg As Pb
2 1 1 1
Cartesian
0.0000 3.3877 0.0000
3.3877 0.0000 0.0000
0.0000 0.0000 2.7349
3.3877 3.3877 0.0000
3.3877 3.3877 2.7349
```